(1)
DFT (GGA-PBE) results for a geometry-optimized BaLi2CeCl8 structure. Values from VASP.

Quantum ESPRESSO input file:
```
&SYSTEM
  ibrav = 0, nat = 12, ntyp = 4
/
ATOMIC_SPECIES
Cl 35.45 Cl.upf
Li 6.94 Li.upf
Ba 137.33 Ba.upf
Ce 140.12 Ce.upf
CELL_PARAMETERS angstrom
-4.629 3.701 -2.207
-1.091 -6.140 1.052
-2.638 1.988 8.865
ATOMIC_POSITIONS angstrom
Cl -3.326 2.451 5.308
Cl -5.717 -0.225 5.196
Cl -2.641 -0.226 2.514
Cl -4.896 -0.882 8.788
Cl -3.462 0.430 -1.078
Cl -1.685 -3.532 3.539
Cl -6.673 3.080 4.170
Cl -5.032 -2.902 2.402
Li -4.272 -1.351 6.693
Li -4.086 0.900 1.017
Ba 0.000 0.000 0.000
Ce -1.319 0.994 4.433
```

As for the formation energy (no corrections): -1.955 eV per atom.



(2)
DFT (GGA-PBE) results for a geometry-optimized CeZnGe2 structure. Values from VASP.

Quantum ESPRESSO input file:
```
&SYSTEM
  ibrav = 0, nat = 4, ntyp = 3
/
ATOMIC_SPECIES
Ge 72.64 Ge.upf
Ce 140.12 Ce.upf
Zn 65.41 Zn.upf
CELL_PARAMETERS angstrom
-0.958 3.101 2.613
-1.898 -2.881 2.723
3.833 -0.564 2.075
ATOMIC_POSITIONS angstrom
Ge -0.949 -1.441 1.361
Ge 1.917 -0.282 1.038
Ce 0.488 -0.172 3.706
Zn -0.479 1.551 1.307
```

The calculation puts the formation energy at -0.466 eV per atom.



(3)
DFT (GGA-PBE) results for a geometry-optimized In2SbP structure. Values from VASP.

Quantum ESPRESSO input file:
```
&SYSTEM
  ibrav = 0, nat = 8, ntyp = 3
/
ATOMIC_SPECIES
In 114.82 In.upf
P 30.97 P.upf
Sb 121.76 Sb.upf
CELL_PARAMETERS angstrom
6.297 0.000 0.000
0.000 6.297 0.000
3.148 3.148 6.239
ATOMIC_POSITIONS angstrom
In 1.787 4.722 1.560
In 7.871 7.658 4.679
In 4.509 1.574 1.560
In 4.722 4.935 4.679
P 3.148 6.297 3.119
P 3.148 3.148 0.000
Sb 6.297 3.148 3.119
Sb 0.000 0.000 0.000
```

As for the formation energy (no corrections): -0.143 eV per atom.



(4)
DFT (GGA-PBE) results for a geometry-optimized CeTh2VN4 structure. Values from VASP.

Quantum ESPRESSO input file:
```
&SYSTEM
  ibrav = 0, nat = 16, ntyp = 4
/
ATOMIC_SPECIES
Th 232.04 Th.upf
N 14.01 N.upf
Ce 140.12 Ce.upf
V 50.94 V.upf
CELL_PARAMETERS angstrom
-2.623 1.762 -1.502
-1.945 -1.535 5.670
4.543 10.518 4.404
ATOMIC_POSITIONS angstrom
Th 1.927 9.515 7.797
Th -0.132 5.443 2.540
Th -1.951 1.230 0.776
Th 0.107 5.302 6.033
N -1.184 1.017 3.261
N -0.637 3.418 1.047
N 0.612 7.327 7.526
N 0.075 7.217 4.261
N 1.159 9.728 5.312
N -0.100 3.528 4.312
N 2.271 5.259 2.202
N 0.000 0.000 0.000
Ce 2.834 7.773 4.170
Ce -2.858 2.972 4.403
V -0.001 2.401 2.818
V -0.024 8.344 5.755
```

As for the formation energy (no corrections): -1.233 eV per atom.



(5)
DFT (GGA-PBE) results for a geometry-optimized LuTa5Ag2O15 structure. Values from VASP.

Quantum ESPRESSO input file:
```
&SYSTEM
  ibrav = 0, nat = 46, ntyp = 4
/
ATOMIC_SPECIES
O 16.00 O.upf
Ag 107.87 Ag.upf
Lu 174.97 Lu.upf
Ta 180.95 Ta.upf
CELL_PARAMETERS angstrom
12.575 0.000 0.000
0.000 12.575 0.000
0.000 0.000 3.916
ATOMIC_POSITIONS angstrom
O 6.278 10.573 0.000
O 7.008 4.656 0.000
O 0.009 4.285 0.000
O 4.285 12.566 0.000
O 2.324 0.975 1.958
O 1.631 11.855 0.000
O 0.975 10.251 1.958
O 7.919 7.008 0.000
O 3.477 2.810 0.000
O 9.765 3.477 0.000
O 11.855 10.944 0.000
O 6.288 0.000 1.958
O 2.810 9.098 0.000
O 11.600 2.324 1.958
O 10.944 0.720 0.000
O 5.567 7.919 0.000
O 6.297 2.002 0.000
O 5.313 3.964 1.958
O 10.573 6.297 0.000
O 0.000 6.288 1.958
O 8.290 0.009 0.000
O 3.964 7.262 1.958
O 9.098 9.765 0.000
O 12.566 8.290 0.000
O 4.656 5.567 0.000
O 10.251 11.600 1.958
O 0.720 1.631 0.000
O 7.262 8.611 1.958
O 2.002 6.278 0.000
O 8.611 5.313 1.958
Ag 4.239 10.526 1.958
Ag 8.336 2.049 1.958
Ag 2.049 4.239 1.958
Ag 10.526 8.336 1.958
Lu 6.288 6.288 1.958
Lu 0.000 0.000 1.958
Ta 3.656 7.288 0.000
Ta 0.000 6.288 0.000
Ta 2.632 1.001 0.000
Ta 6.288 0.000 0.000
Ta 7.288 8.919 0.000
Ta 5.287 3.656 0.000
Ta 9.943 11.574 0.000
Ta 11.574 2.632 0.000
Ta 1.001 9.943 0.000
Ta 8.919 5.287 0.000
```

As for the formation energy (no corrections): -2.527 eV per atom.